Nb6MoW2 | PBE | relaxed

Calculated values
ΔH_f (0 K) = -0.45 eV/f.u.

Structure (CIF):
```
data_Nb6MoW2
_symmetry_space_group_name_H-M 'C 1 2/m 1'
_symmetry_Int_Tables_number 12
_cell_length_a 10.304
_cell_length_b 3.260
_cell_length_c 9.786
_cell_angle_alpha 90.00
_cell_angle_beta 108.02
_cell_angle_gamma 90.00
loop_
_symmetry_equiv_pos_as_xyz
'x,y,z'
'-x,-y,-z'
'-x,y,-z'
'x,-y,z'
'x+1/2,y+1/2,z'
'-x+1/2,-y+1/2,-z'
'-x+1/2,y+1/2,-z'
'x+1/2,-y+1/2,z'
loop_
_atom_site_label
_atom_site_type_symbol
_atom_site_fract_x
_atom_site_fract_y
_atom_site_fract_z
_atom_site_occupancy
Nb1 Nb 0.002 0.000 0.330 1
Nb2 Nb 0.167 0.500 0.890 1
Nb3 Nb 0.170 0.500 0.559 1
Mo1 Mo 0.000 0.000 0.000 1
W1 W 0.163 0.500 0.217 1
```